(1)
Al2CrAu | PBE-GGA | optimized geometry

- Total moment: 2.8 μB/f.u.
- ΔE_f: -0.079 eV per atom
- Symmetry: I4/mmm (139)

Geometry as extended XYZ:
```
8
Lattice="3.977 0.000 0.000 0.000 3.977 0.000 0.000 0.000 7.879" Properties=species:S:1:pos:R:3 pbc="T T T"
Al 0.000 1.989 1.970
Al 0.000 1.989 5.910
Al 1.989 0.000 1.970
Al 1.989 0.000 5.910
Cr 0.000 0.000 0.000
Cr 1.989 1.989 3.940
Au 0.000 0.000 3.940
Au 1.989 1.989 0.000
```

***

(2)
Al2CrAu | PBE-GGA | optimized geometry

- Total moment: 0.8 μB/f.u.
- ΔE_f: -0.028 eV per atom
- Symmetry: Fm-3m (225)

Geometry as extended XYZ:
```
16
Lattice="6.147 0.000 0.000 0.000 6.147 0.000 0.000 0.000 6.147" Properties=species:S:1:pos:R:3 pbc="T T T"
Al 1.537 1.537 1.537
Al 1.537 1.537 4.610
Al 1.537 4.610 1.537
Al 1.537 4.610 4.610
Al 4.610 1.537 1.537
Al 4.610 1.537 4.610
Al 4.610 4.610 1.537
Al 4.610 4.610 4.610
Cr 0.000 0.000 0.000
Cr 0.000 3.074 3.074
Cr 3.074 0.000 3.074
Cr 3.074 3.074 0.000
Au 0.000 0.000 3.074
Au 0.000 3.074 0.000
Au 3.074 0.000 0.000
Au 3.074 3.074 3.074
```

***

(3)
AlCrAu3 | PBE-GGA | optimized geometry

- Total moment: 4.5 μB/f.u.
- ΔE_f: 0.460 eV per atom
- Distance to the lowest polymorph of the same formula: 0 meV/atom
- Symmetry: Pm-3m (221)

Geometry as extended XYZ:
```
5
Lattice="4.802 0.000 0.000 0.000 4.802 0.000 0.000 0.000 4.802" Properties=species:S:1:pos:R:3 pbc="T T T"
Al 0.000 0.000 0.000
Cr 2.401 2.401 2.401
Au 0.000 0.000 2.401
Au 0.000 2.401 0.000
Au 2.401 0.000 0.000
```

***

(4)
AlCrAu2 | PBE-GGA | optimized geometry

- Total moment: 3.7 μB/f.u.
- ΔE_f: -0.015 eV per atom
- Symmetry: F-43m (216)

Geometry as extended XYZ:
```
16
Lattice="6.438 0.000 0.000 0.000 6.438 0.000 0.000 0.000 6.438" Properties=species:S:1:pos:R:3 pbc="T T T"
Al 0.000 0.000 0.000
Al 0.000 3.219 3.219
Al 3.219 0.000 3.219
Al 3.219 3.219 0.000
Cr 1.609 1.609 1.609
Cr 1.609 4.828 4.828
Cr 4.828 1.609 4.828
Cr 4.828 4.828 1.609
Au 0.000 0.000 3.219
Au 0.000 3.219 0.000
Au 1.609 1.609 4.828
Au 1.609 4.828 1.609
Au 3.219 0.000 0.000
Au 3.219 3.219 3.219
Au 4.828 1.609 1.609
Au 4.828 4.828 4.828
```

***

(5)
AlCrAu2 | PBE-GGA | optimized geometry

- Total moment: 3.7 μB/f.u.
- ΔE_f: -0.069 eV per atom
- Symmetry: P4mm (99)

Geometry as extended XYZ:
```
4
Lattice="3.440 0.000 0.000 0.000 3.440 0.000 0.000 0.000 5.669" Properties=species:S:1:pos:R:3 pbc="T T T"
Al 0.000 0.000 0.000
Cr 1.720 1.720 4.146
Au 0.000 0.000 2.888
Au 1.720 1.720 1.194
```

***

(6)
AlCr3Au | PBE-GGA | optimized geometry

- Total moment: 12.0 μB/f.u.
- ΔE_f: 1.254 eV per atom
- Distance to the lowest polymorph of the same formula: 0 meV/atom
- Symmetry: Pm-3m (221)

Geometry as extended XYZ:
```
5
Lattice="4.747 0.000 0.000 0.000 4.747 0.000 0.000 0.000 4.747" Properties=species:S:1:pos:R:3 pbc="T T T"
Al 0.000 0.000 0.000
Cr 0.000 0.000 2.374
Cr 0.000 2.374 0.000
Cr 2.374 0.000 0.000
Au 2.374 2.374 2.374
```

***

(7)
AlCr2Au | PBE-GGA | optimized geometry

- Total moment: 0.0 μB/f.u.
- ΔE_f: -0.056 eV per atom
- Symmetry: Pmmm (47)

Geometry as extended XYZ:
```
4
Lattice="3.776 0.000 0.000 0.000 3.787 0.000 0.000 0.000 4.173" Properties=species:S:1:pos:R:3 pbc="T T T"
Al 0.000 0.000 0.000
Cr 0.000 1.893 2.086
Cr 1.888 0.000 2.086
Au 1.888 1.893 0.000
```

***

(8)
Al2CrAu | PBE-GGA | optimized geometry

- Total moment: 2.3 μB/f.u.
- ΔE_f: -0.181 eV per atom
- Symmetry: P4/mmm (123)

Geometry as extended XYZ:
```
4
Lattice="2.984 0.000 0.000 0.000 2.984 0.000 0.000 0.000 6.811" Properties=species:S:1:pos:R:3 pbc="T T T"
Al 0.000 0.000 1.544
Al 0.000 0.000 5.268
Cr 1.492 1.492 0.000
Au 1.492 1.492 3.406
```